The following is a GGA-PBE calculation of an optimized crystal structure of KHfPb2C, from Alexandria.

Lattice parameters (Å, degrees): 5.6982 5.6982 4.4339 90.00 90.00 90.00
Closest atoms and distances in Å follow each position.
Space group P4/mmm (No. 123)
Symmetry-distinct sites (fractional):
K: 0.0000 0.0000 0.0000 (multiplicity 1)  8 Pb 3.61, 4 Hf 4.03
Hf: 0.5000 0.5000 0.0000 (multiplicity 1)  2 C 2.22
Pb: 0.0000 0.5000 0.5000 (multiplicity 2)  2 C 2.85
C: 0.5000 0.5000 0.5000 (multiplicity 1)  2 Hf 2.22

Raw total energy, eV per cell: -24.51